Here is Y3As2 after structural relaxation from Alexandria. Energies are from PBE-GGA.

Geometry as extended XYZ:
```
5
Lattice="2.0316 1.1730 9.7873 -2.0316 1.1730 9.7873 0.0000 -2.3459 9.7873" Properties=species:S:1:pos:R:3 pbc="T T T"
Y 0.0000 0.0000 0.0000
Y 0.0000 0.0000 6.4880
Y 0.0000 0.0000 22.8737
As 0.0000 0.0000 11.4995
As 0.0000 0.0000 17.8623
```

Computed properties:
N(E_F) ... 3.66 states/eV per cell
SG ... No. 166
M_tot ... 0.7 μB per cell
Calculated volume ... 139.9 Å³/cell
VASP energy ... -6.901 eV/atom